Compound: Rb2SmErO4
Source: Alexandria
Functional: PBE
Structure: optimized geometry

Lattice parameters (Å, degrees): 3.5445 6.1396 6.8836 107.27 90.00 90.00
Last column: nearest neighbours and their distance in Å.
Fractional positions:
1 Rb 0.5000 0.0000 0.5000  6 O 2.92-2.93
2 Rb 0.0000 0.5000 0.5000  6 O 2.97-2.98
3 Sm 0.5000 0.5000 0.0000  6 O 2.38-2.39
4 Er 0.0000 0.0000 0.0000  6 O 2.31-2.33
5 O 0.5000 0.2177 0.1755  2 Er 2.33, 1 Sm 2.39
6 O 0.5000 0.7823 0.8245  2 Er 2.33, 1 Sm 2.39
7 O 0.0000 0.2659 0.8229  1 Er 2.31, 2 Sm 2.38
8 O 0.0000 0.7341 0.1771  1 Er 2.31, 2 Sm 2.38

ΔE_f (raw) ... -2.659 eV per atom